VASP calculation (meta-GGA SCAN) on a crystal of LiSm2Ru relaxed with PBEsol.

Cell and atoms, written as CIF:
```
data_LiSm2Ru
_cell_length_a 6.968
_cell_length_b 6.968
_cell_length_c 6.968
_cell_angle_alpha 90.00
_cell_angle_beta 90.00
_cell_angle_gamma 90.00
_space_group_name_H-M_alt 'F m -3 m'
_space_group_IT_number 225
_space_group_name_Hall '-F 4 2 3'
loop_
_atom_site_label
_atom_site_fract_x
_atom_site_fract_y
_atom_site_fract_z
_atom_site_occupancy
Li1 0.000 0.000 0.000 1
Sm1 0.250 0.250 0.250 1
Ru1 0.000 0.000 0.500 1
```

Summary:
DOS at the Fermi energy = 2.14 states/eV/f.u.
Energy of formation = -0.252 eV/atom

=====

VASP calculation (meta-GGA SCAN) on a crystal of SrLiRu4 relaxed with PBEsol.

Cell and atoms, written as CIF:
```
data_SrLiRu4
_cell_length_a 7.412
_cell_length_b 7.412
_cell_length_c 7.412
_cell_angle_alpha 90.00
_cell_angle_beta 90.00
_cell_angle_gamma 90.00
_space_group_name_H-M_alt 'F -4 3 m'
_space_group_IT_number 216
_space_group_name_Hall 'F -4 2 3'
loop_
_atom_site_label
_atom_site_fract_x
_atom_site_fract_y
_atom_site_fract_z
_atom_site_occupancy
Sr1 0.000 0.000 0.000 1
Li1 0.250 0.250 0.750 1
Ru1 0.124 0.124 0.376 1
```

Summary:
DOS at the Fermi energy = 4.20 states/eV/f.u.
Energy of formation = 0.441 eV/atom